# 1
Nd2SmDyTm5 after structural relaxation. Source: Alexandria via LeMat-Bulk, functional GGA-PBE.

Cell and atoms, written as extended XYZ:
```
18
Lattice="-5.1806 5.1632 4.4846 -6.5194 -5.4280 -1.2818 7.7227 -3.6585 4.9265" Properties=species:S:1:pos:R:3 pbc="T T T"
Nd -3.9699 2.5504 2.6200
Nd -7.7301 -2.8151 0.5828
Nd -8.5982 1.2004 3.1637
Nd -3.1018 -1.4651 0.0390
Dy -4.9136 -2.0278 4.8653
Dy 0.9364 -1.8954 3.2639
Tm -8.3041 -1.6692 4.0007
Tm 0.0000 0.0000 0.0000
Tm 4.3269 -2.2541 4.1286
Tm 1.2293 -0.0948 6.2712
Tm -5.8500 -0.1324 1.6014
Tm 1.4702 -5.3698 3.1388
Tm -5.4475 1.4465 4.9905
Tm -2.3499 -0.7128 2.8479
Tm -1.6273 -3.2105 5.2814
Tm -5.2066 -3.8285 1.8581
Sm -2.3233 -4.6094 2.6230
Sm -1.6539 0.6862 5.5063
```

Its total energy is -77.67 eV per cell. The space group is I4/mcm (140). The value obtained for the formation enthalpy at 0 K is 2.4 eV per formula unit.

---

# 2
Nd3Sm6Dy2Tm after structural relaxation. Source: Alexandria via LeMat-Bulk, functional GGA-PBE.

Cell and atoms, written as extended XYZ:
```
12
Lattice="-1.2909 -2.9941 -5.3519 0.0213 -3.1424 5.4220 -11.0356 4.4328 1.4051" Properties=species:S:1:pos:R:3 pbc="T T T"
Nd -6.1526 -0.8518 0.7376
Nd -6.5901 -0.8024 -2.8547
Nd -5.7151 -0.9013 4.3299
Sm -9.0609 -1.2911 2.9059
Sm -3.6628 -3.5093 0.3978
Sm -2.8075 -0.4620 2.1557
Sm -9.4977 -1.2417 -0.6805
Sm -8.6423 1.8056 1.0774
Sm -3.2442 -0.4126 -1.4307
Dy -0.4161 -3.0930 1.8304
Dy -0.8534 -3.0435 -1.7603
Tm 0.0000 0.0000 0.0000
```

Its total energy is -56.09 eV per cell. The space group is C2/m (12). The value obtained for the formation enthalpy at 0 K is 0.2 eV per formula unit.

---

# 3
Nd6Sm3Dy2Tm after structural relaxation. Source: Alexandria via LeMat-Bulk, functional GGA-PBE.

Cell and atoms, written as extended XYZ:
```
12
Lattice="6.2996 -0.0010 0.0068 -3.1491 5.4560 0.0068 -1.0609 -1.8370 11.7658" Properties=species:S:1:pos:R:3 pbc="T T T"
Nd 3.1390 1.8041 8.8705
Nd -0.0061 3.6205 8.8705
Nd 2.1002 3.6365 2.9184
Nd -1.0495 1.8139 2.9090
Nd 2.0956 -0.0025 2.9090
Nd -0.0107 -0.0185 8.8611
Tm 0.0000 0.0000 0.0000
Sm 1.0448 1.8090 5.8897
Sm -2.1050 3.6281 5.8897
Sm 4.1946 -0.0101 5.8897
Dy 0.0003 3.6371 0.0068
Dy 3.1501 1.8179 0.0068
```

Its total energy is -56.28 eV per cell. The space group is C2/m (12). The value obtained for the formation enthalpy at 0 K is 0.2 eV per formula unit.

---

# 4
Nd6Sm2Dy3Tm after structural relaxation. Source: Alexandria via LeMat-Bulk, functional GGA-PBE.

Cell and atoms, written as extended XYZ:
```
12
Lattice="-1.9350 5.7263 1.7277 -1.1469 -2.0821 -5.8197 -9.1722 -5.7542 4.9954" Properties=species:S:1:pos:R:3 pbc="T T T"
Dy -5.8643 -3.6592 -2.0655
Dy -6.3899 1.5493 2.9689
Dy -6.1271 -1.0550 0.4517
Tm 0.0000 0.0000 0.0000
Nd -2.9425 -1.8309 -1.0229
Nd -9.0498 -2.8738 -0.5817
Nd -7.6318 -3.4014 2.7221
Nd -9.3117 -0.2790 1.9263
Nd -4.6224 1.2914 -1.8187
Nd -3.2044 0.7638 1.4851
Sm -1.4096 0.5202 -3.3044
Sm -1.6724 3.1241 -0.7876
```

Its total energy is -56.17 eV per cell. The space group is C2/m (12). The value obtained for the formation enthalpy at 0 K is 0.1 eV per formula unit.

---

# 5
Nd2Sm3DyTm6 after structural relaxation. Source: Alexandria via LeMat-Bulk, functional GGA-PBE.

Cell and atoms, written as extended XYZ:
```
12
Lattice="6.1758 0.0001 0.0053 -3.0864 5.3493 0.0053 -1.0361 -1.7940 11.5126" Properties=species:S:1:pos:R:3 pbc="T T T"
Dy 0.0000 0.0000 0.0000
Tm 2.0567 -0.0006 2.8837
Tm -0.0033 3.5560 8.6395
Tm -0.0072 -0.0125 8.6319
Tm -1.0283 1.7811 2.8837
Tm 3.0817 1.7743 8.6395
Tm 2.0606 3.5679 2.8913
Sm 1.0267 1.7777 5.7616
Sm 4.1133 -0.0049 5.7616
Sm -2.0599 3.5603 5.7616
Nd 0.0025 3.5654 0.0053
Nd 3.0870 1.7840 0.0053
```

Its total energy is -54.91 eV per cell. The space group is C2/m (12). The value obtained for the formation enthalpy at 0 K is 0.2 eV per formula unit.

---

# 6
Nd2Sm4DyTm after structural relaxation. Source: Alexandria via LeMat-Bulk, functional GGA-PBE.

Cell and atoms, written as extended XYZ:
```
16
Lattice="-6.7425 -7.5490 -1.1674 7.5595 -6.3219 -2.7978 3.6377 9.3436 7.4472" Properties=species:S:1:pos:R:3 pbc="T T T"
Nd 1.8189 4.6718 3.7236
Nd -1.5524 0.8973 3.1399
Nd 0.4085 -6.9354 -1.9826
Nd -3.3712 -3.7745 -0.5837
Sm 2.0159 1.1684 2.7192
Sm 5.7671 -1.9702 1.3392
Sm 7.6420 2.7418 5.0386
Sm 0.2216 -3.4460 -0.9660
Sm 4.2332 -1.0812 4.4480
Sm 2.4389 -5.6956 0.7628
Sm -1.3124 -2.5570 2.1428
Sm -3.1874 -7.2691 -1.5566
Dy 3.7798 -3.1609 -1.3989
Dy -1.1439 -6.0381 1.1572
Tm -3.1048 1.7947 6.2797
Tm 2.2274 -2.2636 1.7410
```

Its total energy is -74.73 eV per cell. The space group is P-1 (2). The value obtained for the formation enthalpy at 0 K is 0.1 eV per formula unit.

---

Number 3 is which compound?
Nd6Sm3Dy2Tm